[1]
VASP calculation (PBE) on an optimized crystal structure of La3PmAu2.

Results
- Symmetry: Pmc2_1 (26)
- D(E_F): 11.35 states/eV/cell
- Energy above the lowest structure with this stoichiometry: 0.0000 eV per atom
- Energy of formation: -12.93 kcal/mol of atoms

Lattice parameters (Å, degrees): 5.1816 9.4866 7.3494 90.00 90.00 90.00
With the nearest neighbours (Å) after each atom.
Fractional positions:
1 La 0.0000 0.0760 0.0000  3 Au 3.09-3.22
2 La 0.0000 0.3381 0.3492  4 Au 3.03-3.21
3 La 0.0000 0.6619 0.8492  4 Au 3.03-3.21
4 La 0.0000 0.9240 0.5000  3 Au 3.09-3.22
5 La 0.5000 0.1633 0.6572  4 Au 3.08-3.23
6 La 0.5000 0.8367 0.1572  4 Au 3.08-3.23
7 Pm 0.5000 0.4274 0.0076  3 Au 3.07-3.22
8 Pm 0.5000 0.5726 0.5076  3 Au 3.07-3.22
9 Au 0.0000 0.3482 0.7692  5 La 3.03-3.23, 2 Pm 3.22
10 Au 0.0000 0.6518 0.2692  5 La 3.03-3.23, 2 Pm 3.22
11 Au 0.5000 0.1583 0.2383  1 Pm 3.07, 6 La 3.08-3.22
12 Au 0.5000 0.8417 0.7383  1 Pm 3.07, 6 La 3.08-3.22

***

[2]
VASP calculation (PBE) on an optimized crystal structure of ZrTc2Os2.

Results
- Symmetry: I4/mmm (139)
- D(E_F): 2.72 states/eV/cell
- Energy above the lowest structure with this stoichiometry: 0.2094 eV per atom
- Energy of formation: 3.68 kcal/mol of atoms

Lattice parameters (Å, degrees): 6.0717 6.0717 6.0717 140.96 140.96 56.40
With the nearest neighbours (Å) after each atom.
Fractional positions:
1 Zr 0.0000 0.0000 0.0000  8 Tc 3.09, 8 Os 3.36
2 Tc 0.3919 0.3919 0.0000  1 Tc 2.31, 4 Os 2.53
3 Tc 0.6081 0.6081 0.0000  1 Tc 2.31, 4 Os 2.53
4 Os 0.2500 0.7500 0.5000  4 Tc 2.53
5 Os 0.7500 0.2500 0.5000  4 Tc 2.53

***

[3]
VASP calculation (PBE) on an optimized crystal structure of BeCr4Tc.

Results
- Symmetry: F-43m (216)
- D(E_F): 4.88 states/eV/cell
- Energy of formation: 3.30 kcal/mol of atoms

Lattice parameters (Å, degrees): 4.6788 4.6788 4.6788 60.00 60.00 60.00
With the nearest neighbours (Å) after each atom.
Fractional positions:
1 Be 0.0000 0.0000 0.0000  12 Cr 2.74, 4 Tc 2.87
2 Cr 0.3743 0.3743 0.3743  6 Cr 2.33-2.35
3 Cr 0.3743 0.3743 0.8772  6 Cr 2.33-2.35
4 Cr 0.3743 0.8772 0.3743  6 Cr 2.33-2.35
5 Cr 0.8772 0.3743 0.3743  6 Cr 2.33-2.35
6 Tc 0.7500 0.7500 0.7500  12 Cr 2.74, 4 Be 2.87

***

[4]
VASP calculation (PBE) on an optimized crystal structure of HoTaNiRu.

Results
- Symmetry: F-43m (216)
- D(E_F): 3.48 states/eV/cell
- Energy of formation: -4.70 kcal/mol of atoms

Lattice parameters (Å, degrees): 4.5865 4.5865 4.5865 60.00 60.00 60.00
With the nearest neighbours (Å) after each atom.
Fractional positions:
1 Ho 0.0000 0.0000 0.0000  4 Ni 2.81, 4 Ru 2.81
2 Ta 0.5000 0.5000 0.5000  4 Ru 2.81, 4 Ni 2.81
3 Ni 0.7500 0.7500 0.7500  4 Ta 2.81, 4 Ho 2.81
4 Ru 0.2500 0.2500 0.2500  4 Ta 2.81, 4 Ho 2.81